(1)
! MnNi2BF (PBE+U, relaxed); values from VASP
! - density of states at the Fermi level (states/eV per atom) = 0.4820
&SYSTEM
  ibrav = 0, nat = 5, ntyp = 4
/
ATOMIC_SPECIES
F 19.00 F.upf
Mn 54.94 Mn.upf
B 10.81 B.upf
Ni 58.69 Ni.upf
ATOMIC_POSITIONS angstrom
F 1.096 -0.063 1.528
Mn 0.000 0.000 0.000
B -1.620 -0.739 3.448
Ni -1.115 -2.000 0.717
Ni -1.600 1.324 1.202
CELL_PARAMETERS angstrom
-2.231 -4.000 1.434
2.192 -0.126 3.056
-3.200 2.647 2.405

(2)
MnBO2F | PBE+U | relaxed Values from VASP.

Quantum ESPRESSO input file:
```
&SYSTEM
  ibrav = 0, nat = 5, ntyp = 4
/
ATOMIC_SPECIES
O 16.00 O.upf
F 19.00 F.upf
Mn 54.94 Mn.upf
B 10.81 B.upf
ATOMIC_POSITIONS angstrom
O 1.677 0.000 0.000
F 0.000 0.000 1.813
Mn 1.677 1.677 1.813
B 0.000 0.000 0.000
O 0.000 1.677 0.000
CELL_PARAMETERS angstrom
3.354 0.000 0.000
0.000 3.354 0.000
0.000 0.000 3.627
```

(3)
! MnBO2F (PBE+U, relaxed); values from VASP
! - density of states at the Fermi level (states/eV per atom) = 0.5795
&SYSTEM
  ibrav = 0, nat = 5, ntyp = 4
/
ATOMIC_SPECIES
Mn 54.94 Mn.upf
O 16.00 O.upf
B 10.81 B.upf
F 19.00 F.upf
ATOMIC_POSITIONS angstrom
Mn 0.000 0.000 0.000
O -0.719 0.406 -1.716
B -3.122 1.013 -0.566
F -1.632 -0.987 0.450
O -0.771 1.594 0.700
CELL_PARAMETERS angstrom
-1.543 3.188 1.400
-1.438 0.811 -3.432
-3.264 -1.974 0.901

Across the entries above, uncorrected energy takes the values -3.115; -6.454; -5.360 eV/atom, respectively.